Material: PuCrBO6
Method: DFT, GGA+U
State: optimized geometry

Output
Space-group type = No. 163
Final energy = -8.252 eV/atom
Volume = 180.8 Å³ per cell

The structure in extended XYZ format:
```
18
Lattice="4.917 0.000 0.000 -2.458 4.258 0.000 0.000 0.000 8.634" Properties=species:S:1:pos:R:3 pbc="T T T"
Pu 0.000 2.839 2.159
Pu 2.458 1.419 6.476
Cr 0.000 0.000 0.000
Cr 0.000 0.000 4.317
B 0.000 2.839 6.476
B 2.458 1.419 2.159
O -0.654 1.567 5.469
O -1.428 2.908 7.482
O 0.654 1.567 7.482
O -0.774 4.041 5.469
O 1.685 0.217 1.152
O 1.030 1.350 3.165
O 1.428 2.908 5.469
O 0.774 4.041 7.482
O 3.232 0.217 3.165
O 1.804 2.691 1.152
O 3.887 1.350 1.152
O 3.113 2.691 3.165
```